Ta5Re3 | PBE | relaxed

Cell and atoms, written as CIF:
```
data_Ta5Re3
_symmetry_space_group_name_H-M 'C 1 2/m 1'
_symmetry_Int_Tables_number 12
_cell_length_a 5.103
_cell_length_b 14.740
_cell_length_c 7.791
_cell_angle_alpha 90.00
_cell_angle_beta 108.94
_cell_angle_gamma 90.00
loop_
_symmetry_equiv_pos_as_xyz
'x,y,z'
'-x,-y,-z'
'-x,y,-z'
'x,-y,z'
'x+1/2,y+1/2,z'
'-x+1/2,-y+1/2,-z'
'-x+1/2,y+1/2,-z'
'x+1/2,-y+1/2,z'
loop_
_atom_site_label
_atom_site_type_symbol
_atom_site_fract_x
_atom_site_fract_y
_atom_site_fract_z
Ta1 Ta 0.101 0.169 0.201
Ta2 Ta 0.169 0.400 0.338
Ta3 Ta 0.250 0.000 0.000
Re1 Re 0.000 0.250 0.500
Re2 Re 0.000 0.323 0.000
Re3 Re 0.177 0.000 0.355
```

Properties
Electronic total energy = -12.116 eV per atom
Formation energy = -0.040 eV per atom
ΔE to the lowest computed polymorph = 0.3349 eV/atom